[1]
# Zn8CdAg4 | the Alexandria database | GGA-PBE | relaxed
data_Zn8CdAg4
_chemical_formula_sum 'Zn8 Cd1 Ag4'
_cell_length_a 2.856
_cell_length_b 4.474
_cell_length_c 17.122
_cell_angle_alpha 90.00
_cell_angle_beta 90.00
_cell_angle_gamma 90.00
_space_group_name_H-M_alt 'P m m 2'
_space_group_IT_number 25
loop_
_space_group_symop_operation_xyz
'x,y,z'
'-x,-y,z'
'-x,y,z'
'x,-y,z'
loop_
_atom_site_label
_atom_site_type_symbol
_atom_site_fract_x
_atom_site_fract_y
_atom_site_fract_z
_atom_site_occupancy
Zn1 Zn 0.000 0.000 0.000 1
Zn2 Zn 0.000 0.000 0.279 1
Zn3 Zn 0.000 0.500 0.191 1
Zn4 Zn 0.000 0.500 0.608 1
Zn5 Zn 0.500 0.000 0.575 1
Zn6 Zn 0.500 0.000 0.856 1
Zn7 Zn 0.500 0.500 0.043 1
Zn8 Zn 0.500 0.500 0.759 1
Cd1 Cd 0.000 0.000 0.437 1
Ag1 Ag 0.000 0.000 0.714 1
Ag2 Ag 0.000 0.500 0.901 1
Ag3 Ag 0.500 0.000 0.141 1
Ag4 Ag 0.500 0.500 0.338 1
# **Crystal system**: orthorhombic
# **Formation enthalpy at 0 K**: -0.3 kJ per mole of atoms
# **Raw total energy**: -1.735 eV per atom
# **DOS at the Fermi energy**: 2.636 states/eV/f.u.
# **Volume**: 16.83 A^3/atom

[2]
# Zn2CdAg | the Alexandria database | GGA-PBE | relaxed
data_Zn2CdAg
_chemical_formula_sum 'Zn2 Cd1 Ag1'
_cell_length_a 3.980
_cell_length_b 4.174
_cell_length_c 4.187
_cell_angle_alpha 90.00
_cell_angle_beta 90.00
_cell_angle_gamma 90.00
_space_group_name_H-M_alt 'P m m m'
_space_group_IT_number 47
loop_
_space_group_symop_operation_xyz
'x,y,z'
'-x,-y,-z'
'-x,-y,z'
'x,y,-z'
'x,-y,-z'
'-x,y,z'
'-x,y,-z'
'x,-y,z'
loop_
_atom_site_label
_atom_site_type_symbol
_atom_site_fract_x
_atom_site_fract_y
_atom_site_fract_z
_atom_site_occupancy
Zn1 Zn 0.000 0.000 0.000 1
Zn2 Zn 0.000 0.500 0.500 1
Cd1 Cd 0.500 0.000 0.500 1
Ag1 Ag 0.500 0.500 0.000 1
# **Crystal system**: orthorhombic
# **Formation enthalpy at 0 K**: 4.3 kJ per mole of atoms
# **Raw total energy**: -1.534 eV per atom
# **DOS at the Fermi energy**: 1.775 states/eV/f.u.
# **Volume**: 17.39 A^3/atom

> Number 2 is which compound?

Zn2CdAg